{
  "formula": "La5Tb2Ho12",
  "functional": "PBE",
  "state": "optimized geometry",
  "e_form_ev_per_atom": 0.107,
  "dos_ef_per_ev_fu": 28.61,
  "total_magnetization_mub_per_fu": 0.00,
  "energy_ev_per_atom": -4.5680,
  "sg": "P-1",
  "cell": [[-3.858, -3.502, 4.330], [-2.263, -5.497, -13.084], [10.323, 3.842, 11.037]],
  "species": ["Ho", "Ho", "Ho", "Ho", "Ho", "Ho", "Ho", "Ho", "Ho", "Ho", "Ho", "Ho", "La", "La", "La", "La", "La", "Tb", "Tb"],
  "fractional_positions": [[0.100, 0.489, 0.097], [0.599, 0.543, 0.744], [0.938, 0.973, 0.768], [0.900, 0.511, 0.903], [0.996, 0.388, 0.609], [0.401, 0.457, 0.256], [0.062, 0.027, 0.232], [0.529, 0.088, 0.893], [0.527, 0.391, 0.996], [0.473, 0.609, 0.004], [0.471, 0.912, 0.107], [0.004, 0.612, 0.391], [0.424, 0.005, 0.393], [0.000, 0.000, 0.500], [0.320, 0.583, 0.566], [0.680, 0.418, 0.434], [0.576, 0.995, 0.607], [0.818, 0.080, 0.065], [0.182, 0.920, 0.935]]
}

=====

{
  "formula": "ThTl4Te4",
  "functional": "PBE",
  "state": "optimized geometry",
  "total_magnetization_mub_per_fu": 0.00,
  "energy_ev_per_atom": -3.9088,
  "raw_formation_energy_ev_per_atom": -0.636,
  "sg": "C2/m",
  "cell": [[-4.639, 0.061, -0.471], [-2.759, -7.012, 3.179], [-3.287, 1.996, 9.537]],
  "species": ["Tl", "Tl", "Tl", "Tl", "Te", "Te", "Te", "Te", "Th"],
  "fractional_positions": [[0.913, 0.763, 0.411], [0.707, 0.363, 0.223], [0.293, 0.637, 0.777], [0.087, 0.237, 0.589], [0.673, 0.955, 0.700], [0.101, 0.718, 0.080], [0.899, 0.282, 0.920], [0.327, 0.045, 0.300], [0.500, 0.000, 0.000]]
}

=====

{
  "formula": "Li2LaP",
  "functional": "PBE",
  "state": "optimized geometry",
  "e_form_ev_per_atom": -0.596,
  "dos_ef_per_ev_fu": 2.23,
  "total_magnetization_mub_per_fu": 0.00,
  "energy_ev_per_atom": -4.1373,
  "sg": "Cmmm",
  "cell": [[-3.270, -3.458, -0.573], [0.514, 0.217, -4.242], [3.119, -2.937, -0.074]],
  "species": ["P", "Li", "Li", "La"],
  "fractional_positions": [[0.500, 0.250, 0.250], [0.000, 0.069, 0.068], [0.000, 0.431, 0.432], [0.500, 0.750, 0.750]]
}